The following is a DFT calculation (PBE) of a relaxed NdDyCd2Au4 crystal.

Output
Its volume is 174.6 Å³/f.u. As for the formation energy: -663 meV/atom. As for the density: 12.5 g/cm3.

Structure (POSCAR):
```
NdDyCd2Au4
1.0
4.981 0.000 0.000
0.000 4.981 0.000
0.000 0.000 7.035
Nd Dy Cd Au
1 1 2 4
Direct
0.000 0.000 0.000 Nd
0.500 0.500 0.500 Dy
0.000 0.000 0.500 Cd
0.500 0.500 0.000 Cd
0.000 0.500 0.261 Au
0.000 0.500 0.739 Au
0.500 0.000 0.261 Au
0.500 0.000 0.739 Au
```